Crystalline AlRh2Au at its relaxed geometry. Source: Alexandria, functional PBE.

Geometry as POSCAR:
```
AlRh2Au
1.0
-2.6322 0.4680 -4.0577
-3.9909 -1.4183 -2.3819
-3.3472 3.2293 0.9212
Au Rh Al
1 2 1
Cartesian
-2.4926 0.5698 -1.3796 Au
-3.4206 3.1489 0.7712 Rh
-4.9117 1.2199 -2.6092 Rh
-7.4777 1.7093 -4.1388 Al
```

## Properties
The calculation puts the density of states at the Fermi level at 1.81 states/eV/f.u. As for the formation energy: -0.3658 eV/atom. The energy comes out at -23.186 eV for the cell shown. As for the total moment: 0.0 μB per cell.

Crystalline Dy3HfTl3S8 at its relaxed geometry. Source: Alexandria, functional PBE.

Geometry as POSCAR:
```
Dy3HfTl3S8
1.0
7.8855 0.0000 0.0000
-3.9428 6.8284 -0.0289
0.0000 -4.5236 7.6248
S Hf Tl Dy
8 1 3 3
Cartesian
0.0000 -0.1111 5.2502 S
3.9428 0.0209 5.3072 S
-2.0857 3.5009 5.2348 S
3.9428 2.4159 2.3456 S
2.0857 3.5009 5.2348 S
1.8571 -1.1960 2.3611 S
6.0284 -1.1960 2.3611 S
0.0000 2.2840 2.2887 S
0.0000 -2.2618 3.8124 Hf
-1.9714 3.4142 -0.0144 Tl
1.9714 3.4142 -0.0144 Tl
0.0000 0.0000 0.0000 Tl
3.9428 -2.2618 3.8124 Dy
-1.9714 1.1524 3.7979 Dy
1.9714 1.1524 3.7979 Dy
```

## Properties
The energy relative to the elements, uncorrected is -1515 meV/atom. The energy comes out at -86.602 eV for the cell shown. As for the total moment: 0.0 μB per cell.